The following is a DFT calculation (PBE-GGA) of a geometry-optimized Zr2MnB structure.

energy of formation from the pure elements: 118 meV per atom
SG: No. 122
total DFT energy (no corrections): -8.1177 eV/atom

Unit cell a=8.6833 b=8.6833 c=6.4253 alpha=47.49 beta=47.49 gamma=90.00
Closest atoms and distances in Å follow each position.
Positions (direct):
B  0.5000  0.5000  0.0000  2 Mn 1.89
B  0.2500  0.7500  0.5000  2 Mn 1.89
Mn  0.0000  0.0000  0.0000  2 B 1.89
Mn  0.7500  0.2500  0.5000  2 B 1.89
Zr  0.4702  0.1250  0.2500  2 B 2.37
Zr  0.2798  0.6250  0.2500  2 B 2.37
Zr  0.3750  0.5298  0.7500  2 B 2.37
Zr  0.8750  0.7202  0.7500  2 B 2.37